1.
VASP calculation (GGA-PBE) on a geometry-optimized Hf3In structure.

POSCAR file:
```
Hf3In
1.0
3.158 0.000 0.000
0.000 10.280 0.000
0.000 0.000 5.450
Hf In
6 2
Direct
0.000 0.000 0.000
0.000 0.245 0.655
0.000 0.755 0.655
0.500 0.255 0.155
0.500 0.500 0.500
0.500 0.745 0.155
0.000 0.500 0.986
0.500 0.000 0.486
```

Output
Total energy = -8.23 eV per atom
Calculated volume = 88.5 Å³/f.u.
Energy relative to the elements = -7.44 kJ/mol of atoms
N(E_F) = 3.5 states/eV/f.u.

2.
VASP calculation (GGA-PBE) on a geometry-optimized Tl3Hg5Sb structure.

POSCAR file:
```
Tl3Hg5Sb
1.0
9.710 0.000 0.000
-4.855 8.409 0.000
0.000 0.000 6.447
Tl Hg Sb
6 10 2
Direct
0.000 0.369 0.250
0.000 0.631 0.750
0.369 0.000 0.250
0.369 0.369 0.750
0.631 0.000 0.750
0.631 0.631 0.250
0.000 0.292 0.750
0.000 0.708 0.250
0.292 0.000 0.750
0.292 0.292 0.250
0.333 0.667 0.000
0.333 0.667 0.500
0.667 0.333 0.000
0.667 0.333 0.500
0.708 0.000 0.250
0.708 0.708 0.750
0.000 0.000 0.000
0.000 0.000 0.500
```

Output
Total energy = -1.41 eV per atom
Calculated volume = 263.2 Å³/f.u.
N(E_F) = 2.8 states/eV/f.u.
ΔE_f (raw) = 0.01 eV/atom

3.
VASP calculation (GGA-PBE) on a geometry-optimized PrNd15Er4 structure.

POSCAR file:
```
PrNd15Er4
1.0
5.164 0.000 0.000
0.000 5.164 0.000
0.000 0.000 25.725
Pr Nd Er
1 15 4
Direct
0.000 0.000 0.000
0.000 0.500 0.102
0.000 0.500 0.301
0.000 0.500 0.500
0.000 0.500 0.699
0.000 0.500 0.898
0.500 0.000 0.102
0.500 0.000 0.301
0.500 0.000 0.500
0.500 0.000 0.699
0.500 0.000 0.898
0.500 0.500 0.000
0.500 0.500 0.202
0.500 0.500 0.400
0.500 0.500 0.600
0.500 0.500 0.798
0.000 0.000 0.202
0.000 0.000 0.401
0.000 0.000 0.599
0.000 0.000 0.798
```

Output
Total energy = -4.71 eV per atom
Calculated volume = 686.0 Å³/f.u.
Energy relative to the elements = 1.20 kJ/mol of atoms
N(E_F) = 27.6 states/eV/f.u.

4.
VASP calculation (GGA-PBE) on a geometry-optimized SrAgGeO2 structure.

POSCAR file:
```
SrAgGeO2
1.0
4.478 0.000 0.000
0.000 4.478 0.000
0.000 0.000 6.071
Sr Ag Ge O
1 1 1 2
Direct
0.000 0.000 0.000
0.000 0.000 0.500
0.500 0.500 0.500
0.000 0.500 0.000
0.500 0.000 0.000
```

Output
Total energy = -3.79 eV per atom
Calculated volume = 121.8 Å³/f.u.
N(E_F) = 3.4 states/eV/f.u.
ΔE_f (raw) = 0.02 eV/atom

5.
VASP calculation (GGA-PBE) on a geometry-optimized Ce7SbC2 structure.

POSCAR file:
```
Ce7SbC2
1.0
3.937 -6.395 0.000
3.937 6.395 0.000
0.000 0.000 4.951
Ce Sb C
7 1 2
Direct
0.000 0.000 0.000
0.175 0.446 0.000
0.197 0.803 0.500
0.446 0.175 0.000
0.554 0.825 0.000
0.803 0.197 0.500
0.825 0.554 0.000
0.500 0.500 0.500
0.206 0.794 0.000
0.794 0.206 0.000
```

Output
Total energy = -6.46 eV per atom
Calculated volume = 249.3 Å³/f.u.
N(E_F) = 25.4 states/eV/f.u.
ΔE_f (raw) = -0.05 eV/atom

6.
VASP calculation (GGA-PBE) on a geometry-optimized Mn2Zn3Au4 structure.

POSCAR file:
```
Mn2Zn3Au4
1.0
4.108 0.000 0.000
2.025 4.312 0.000
0.079 2.173 8.242
Mn Zn Au
2 3 4
Direct
0.181 0.133 0.224
0.819 0.867 0.776
0.157 0.186 0.561
0.500 0.500 0.000
0.843 0.814 0.439
0.156 0.190 0.889
0.477 0.552 0.663
0.523 0.448 0.337
0.844 0.810 0.111
```

Output
Total energy = -4.02 eV per atom
Calculated volume = 146.0 Å³/f.u.
Energy relative to the elements = -10.11 kJ/mol of atoms
N(E_F) = 4.4 states/eV/f.u.

7.
VASP calculation (GGA-PBE) on a geometry-optimized NaCuH3 structure.

POSCAR file:
```
NaCuH3
1.0
3.259 0.000 0.000
-1.624 5.106 0.000
-1.626 -1.419 6.629
Na Cu H
2 2 6
Direct
0.000 0.000 0.000
0.414 0.262 0.568
0.581 0.764 0.402
0.831 0.498 0.165
0.198 0.660 0.736
0.217 0.603 0.832
0.422 0.693 0.152
0.621 0.284 0.959
0.792 0.978 0.608
0.992 0.570 0.416
```

Output
Total energy = -3.12 eV per atom
Calculated volume = 55.2 Å³/f.u.
Energy above the most stable polymorph in this dataset = 48 meV per atom
N(E_F) = 0.0 states/eV/f.u.

8.
VASP calculation (GGA-PBE) on a geometry-optimized HfTi3Ni2 structure.

POSCAR file:
```
HfTi3Ni2
1.0
4.174 -4.525 0.000
4.174 4.525 0.000
-0.059 0.000 4.983
Hf Ti Ni
2 6 4
Direct
0.095 0.095 0.251
0.905 0.905 0.749
0.091 0.401 0.750
0.401 0.091 0.750
0.429 0.429 0.248
0.571 0.571 0.752
0.599 0.909 0.250
0.909 0.599 0.250
0.256 0.744 0.000
0.257 0.743 0.500
0.743 0.257 0.500
0.744 0.256 0.000
```

Output
Total energy = -7.81 eV per atom
Calculated volume = 94.1 Å³/f.u.
Energy relative to the elements = -26.95 kJ/mol of atoms
N(E_F) = 7.7 states/eV/f.u.

9.
VASP calculation (GGA-PBE) on a geometry-optimized Ac3Pt2Pb4 structure.

POSCAR file:
```
Ac3Pt2Pb4
1.0
6.247 -2.416 0.000
6.247 2.416 0.000
-2.563 0.000 9.294
Ac Pt Pb
3 2 4
Direct
0.000 0.000 0.000
0.318 0.318 0.358
0.682 0.682 0.642
0.373 0.373 0.692
0.627 0.627 0.308
0.028 0.028 0.355
0.296 0.296 0.940
0.704 0.704 0.060
0.972 0.972 0.645
```

Output
Total energy = -4.98 eV per atom
Calculated volume = 280.6 Å³/f.u.
Energy relative to the elements = -60.08 kJ/mol of atoms
N(E_F) = 6.1 states/eV/f.u.

10.
VASP calculation (GGA-PBE) on a geometry-optimized Na2InSiSb structure.

POSCAR file:
```
Na2InSiSb
1.0
5.746 0.000 0.000
0.000 5.746 0.000
0.000 0.000 5.375
Na In Si Sb
2 1 1 1
Direct
0.000 0.500 0.000
0.500 0.000 0.000
0.000 0.000 0.500
0.500 0.500 0.500
0.500 0.500 0.000
```

Output
Total energy = -2.60 eV per atom
Calculated volume = 177.5 Å³/f.u.
N(E_F) = 4.3 states/eV/f.u.
ΔE_f (raw) = 0.39 eV/atom

11.
VASP calculation (GGA-PBE) on a geometry-optimized LuUNiIr structure.

POSCAR file:
```
LuUNiIr
1.0
6.736 0.000 0.000
0.000 6.736 0.000
0.000 0.000 6.736
Lu U Ni Ir
4 4 4 4
Direct
0.000 0.000 0.000
0.000 0.500 0.500
0.500 0.000 0.500
0.500 0.500 0.000
0.000 0.000 0.500
0.000 0.500 0.000
0.500 0.000 0.000
0.500 0.500 0.500
0.250 0.250 0.250
0.250 0.750 0.750
0.750 0.250 0.750
0.750 0.750 0.250
0.250 0.250 0.750
0.250 0.750 0.250
0.750 0.250 0.250
0.750 0.750 0.750
```

Output
Total energy = -8.02 eV per atom
Calculated volume = 76.4 Å³/f.u.
Energy relative to the elements = -39.26 kJ/mol of atoms
N(E_F) = 6.0 states/eV/f.u.

12.
VASP calculation (GGA-PBE) on a geometry-optimized YPdSe2N structure.

POSCAR file:
```
YPdSe2N
1.0
5.489 0.000 0.000
0.000 5.489 0.000
0.000 0.000 4.226
Y Pd Se N
1 1 2 1
Direct
0.000 0.000 0.000
0.500 0.500 0.500
0.000 0.500 0.000
0.500 0.000 0.000
0.000 0.000 0.500
```

Output
Total energy = -4.86 eV per atom
Calculated volume = 127.3 Å³/f.u.
Energy above the most stable polymorph in this dataset = 702 meV per atom
N(E_F) = 8.9 states/eV/f.u.
ΔE_f (raw) = 0.53 eV/atom